VASP calculation (PBE) on crystalline GeAsI2 at its relaxed geometry.

Properties
As for the total moment: 0.00 μB per formula unit. The value obtained for the density is 5.4 g/cm³. The formation energy without anion corrections comes out at 0.487 eV/atom. As for the symmetry: No. 122. The calculated volume comes out at 30.6 Å³/atom.

a = 8.2061 Å, b = 8.2061 Å, c = 7.2819 Å
α = 90.00°, β = 90.00°, γ = 90.00°
Element x y z (fractional)
Ge 0.0000 0.0000 0.0000
Ge 0.0000 0.5000 0.2500
Ge 0.5000 0.0000 0.7500
Ge 0.5000 0.5000 0.5000
As 0.0000 0.0000 0.5000
As 0.0000 0.5000 0.7500
As 0.5000 0.0000 0.2500
As 0.5000 0.5000 0.0000
I 0.2471 0.7500 0.1250
I 0.2500 0.2471 0.8750
I 0.2500 0.2529 0.3750
I 0.2529 0.7500 0.6250
I 0.7471 0.2500 0.6250
I 0.7500 0.7471 0.3750
I 0.7500 0.7529 0.8750
I 0.7529 0.2500 0.1250

---

VASP calculation (PBE) on crystalline MgIn2TcO6 at its relaxed geometry.

Properties
As for the total moment: 0.00 μB per formula unit. The value obtained for the density is 5.3 g/cm³. The formation energy without anion corrections comes out at -1.407 eV/atom. As for the symmetry: No. 99. The calculated volume comes out at 13.9 Å³/atom.

a = 5.2854 Å, b = 5.2854 Å, c = 4.9872 Å
α = 90.00°, β = 90.00°, γ = 90.00°
Element x y z (fractional)
Mg 0.0000 0.0000 0.0000
In 0.0000 0.5000 0.4197
In 0.5000 0.0000 0.4197
Tc 0.5000 0.5000 0.0044
O 0.0000 0.0000 0.6029
O 0.2631 0.2631 0.1571
O 0.2631 0.7369 0.1571
O 0.5000 0.5000 0.6564
O 0.7369 0.2631 0.1571
O 0.7369 0.7369 0.1571